The following is a PBE calculation of crystalline RuRhPb at its relaxed geometry, from Alexandria.

Unit cell a=4.9445 b=4.9445 c=4.9445 alpha=144.28 beta=131.99 gamma=61.25
Closest atoms and distances in Å follow each position.
Atoms (fractional coordinates):
Pb  0.0002  0.0002  0.0000  5 Rh 2.79-2.92, 5 Ru 2.79-2.91, 2 Pb 3.03
Rh  0.3276  0.3276  0.0000  5 Pb 2.79-2.92, 5 Ru 2.84-2.93, 2 Rh 3.03
Ru  0.6722  0.6722  0.0000  5 Pb 2.79-2.91, 5 Rh 2.84-2.93, 2 Ru 3.03

## Properties
space-group type	Imm2
energy relative to the elements	0.462	eV/atom
excess energy over the best structure of this formula in the dataset	0.13	eV/f.u.
spin magnetization	1.262	μB per formula unit
crystal system	orthorhombic